VASP calculation (GGA-PBE) on an optimized crystal structure of Tm4InCuRu2.

Cell and atoms, written as CIF:
```
data_Tm4InCuRu2
_cell_length_a 4.8974
_cell_length_b 4.8974
_cell_length_c 23.9713
_cell_angle_alpha 90.00
_cell_angle_beta 90.00
_cell_angle_gamma 120.00
_space_group_name_H-M_alt 'R -3 m'
_space_group_IT_number 166
_space_group_name_Hall '-R 3 2"'
loop_
_atom_site_label
_atom_site_type_symbol
_atom_site_fract_x
_atom_site_fract_y
_atom_site_fract_z
Tm1 Tm 0.0000 0.0000 0.1190
Tm2 Tm 0.0000 0.0000 0.3703
In1 In 0.0000 0.0000 0.5000
Cu1 Cu 0.0000 0.0000 0.0000
Ru1 Ru 0.0000 0.0000 0.2487
```

Calculated values
- Calculated volume: 20.747 Å³/atom
- Calculated formation energy: -380.5 meV/atom
- DOS(E_F): 0.634 states/eV per atom

VASP calculation (GGA-PBE) on an optimized crystal structure of Tb4Sm5Cd2.

Cell and atoms, written as CIF:
```
data_Tb4Sm5Cd2
_cell_length_a 8.710
_cell_length_b 3.523
_cell_length_c 11.162
_cell_angle_alpha 90.00
_cell_angle_beta 93.99
_cell_angle_gamma 90.00
_space_group_name_H-M_alt 'P 1 2/m 1'
_space_group_IT_number 10
loop_
_space_group_symop_operation_xyz
'x,y,z'
'-x,-y,-z'
'-x,y,-z'
'x,-y,z'
loop_
_atom_site_label
_atom_site_type_symbol
_atom_site_fract_x
_atom_site_fract_y
_atom_site_fract_z
Tb1 Tb 0.152 0.000 0.378
Tb2 Tb 0.255 0.000 0.949
Sm1 Sm 0.200 0.500 0.663
Sm2 Sm 0.443 0.500 0.195
Sm3 Sm 0.500 0.500 0.500
Cd1 Cd 0.060 0.500 0.135
```

Calculated values
- Calculated volume: 31.060 Å³/atom
- Calculated formation energy: 3.1 meV/atom
- DOS(E_F): 1.386 states/eV per atom

VASP calculation (GGA-PBE) on an optimized crystal structure of K2OsAu.

Cell and atoms, written as CIF:
```
data_K2OsAu
_cell_length_a 3.602
_cell_length_b 3.602
_cell_length_c 9.932
_cell_angle_alpha 90.00
_cell_angle_beta 90.00
_cell_angle_gamma 90.00
_space_group_name_H-M_alt 'P 4 m m'
_space_group_IT_number 99
loop_
_space_group_symop_operation_xyz
'x,y,z'
'-y,x,z'
'-x,-y,z'
'y,-x,z'
'-x,y,z'
'y,x,z'
'x,-y,z'
'-y,-x,z'
loop_
_atom_site_label
_atom_site_type_symbol
_atom_site_fract_x
_atom_site_fract_y
_atom_site_fract_z
K1 K 0.000 0.000 0.000
K2 K 0.500 0.500 0.433
Os1 Os 0.000 0.000 0.684
Au1 Au 0.500 0.500 0.757
```

Calculated values
- Calculated volume: 32.209 Å³/atom
- Calculated formation energy: 772.8 meV/atom
- Energy above the most stable polymorph in this dataset: 81 meV/atom
- DOS(E_F): 1.256 states/eV per atom

VASP calculation (GGA-PBE) on an optimized crystal structure of AsPC2.

Cell and atoms, written as CIF:
```
data_AsPC2
_cell_length_a 9.202
_cell_length_b 3.003
_cell_length_c 5.178
_cell_angle_alpha 90.00
_cell_angle_beta 124.07
_cell_angle_gamma 90.00
_space_group_name_H-M_alt 'C 1 m 1'
_space_group_IT_number 8
loop_
_space_group_symop_operation_xyz
'x,y,z'
'x,-y,z'
'x+1/2,y+1/2,z'
'x+1/2,-y+1/2,z'
loop_
_atom_site_label
_atom_site_type_symbol
_atom_site_fract_x
_atom_site_fract_y
_atom_site_fract_z
As1 As 0.000 0.000 0.000
P1 P 0.350 0.000 0.354
C1 C 0.383 0.500 0.220
C2 C 0.420 0.000 0.737
```

Calculated values
- Calculated volume: 14.812 Å³/atom
- Calculated formation energy: 857.0 meV/atom
- Energy above the most stable polymorph in this dataset: 314 meV/atom
- DOS(E_F): 0.112 states/eV per atom